No. 1
The following is a PBE calculation of a geometry-optimized LaGa2Si structure, from the Alexandria database.

Summary:
The value obtained for the formation energy (no corrections) is -401 meV/atom. The value obtained for the density is 5.9 g cm⁻³. The electronic total energy is -4.502 eV per atom.

Cell lengths 4.344, 4.344, 4.558 Å; angles 90.00, 90.00, 90.00 degrees
Fractional coordinates of all 4 atoms:
La  0.000  0.000  0.000
Ga  0.000  0.500  0.500
Ga  0.500  0.000  0.500
Si  0.500  0.500  0.000

No. 2
The following is a PBE calculation of a geometry-optimized ZrCu5Pd4 structure, from the Alexandria database.

Summary:
As for the formation energy: -0.266 eV per atom. The value obtained for the density is 9.6 g cm⁻³. The electronic total energy is -5.246 eV per atom.

Cell lengths 4.652, 5.456, 6.187 Å; angles 76.89, 74.50, 75.13 degrees
Fractional coordinates of all 10 atoms:
Zr  0.000  0.000  0.000
Cu  0.000  0.500  0.000
Cu  0.210  0.792  0.587
Cu  0.423  0.592  0.193
Cu  0.577  0.408  0.807
Cu  0.790  0.208  0.413
Pd  0.190  0.305  0.608
Pd  0.385  0.111  0.208
Pd  0.615  0.889  0.792
Pd  0.810  0.695  0.392

No. 3
The following is a PBE calculation of a geometry-optimized CaV3Ga structure, from the Alexandria database.

Summary:
The calculation puts the offset from the most stable computed form at 5.53 eV per formula unit. As for the formation energy: 2.058 eV per atom. The value obtained for the density is 5.1 g cm⁻³. The electronic total energy is -4.418 eV per atom.

Cell lengths 4.398, 4.398, 4.398 Å; angles 90.00, 90.00, 90.00 degrees
Fractional coordinates of all 5 atoms:
Ca  0.000  0.000  0.000
V  0.000  0.000  0.500
V  0.000  0.500  0.000
V  0.500  0.000  0.000
Ga  0.500  0.500  0.500

No. 4
The following is a PBE calculation of a geometry-optimized Dy2InHg structure, from the Alexandria database.

Summary:
As for the formation energy: -0.466 eV per atom. The value obtained for the density is 10.1 g cm⁻³. The electronic total energy is -3.527 eV per atom.

Cell lengths 5.298, 5.298, 5.298 Å; angles 119.91, 119.91, 90.16 degrees
Fractional coordinates of all 4 atoms:
Dy  0.250  0.750  0.500
Dy  0.750  0.250  0.500
In  0.000  0.000  0.000
Hg  0.500  0.500  0.000

No. 5
The following is a PBE calculation of a geometry-optimized SrSb2Ir structure, from the Alexandria database.

Summary:
The value obtained for the formation energy (no corrections) is -563 meV/atom. The value obtained for the density is 8.1 g cm⁻³. The electronic total energy is -5.259 eV per atom.

Cell lengths 6.034, 6.145, 7.263 Å; angles 65.06, 78.35, 61.54 degrees
Fractional coordinates of all 8 atoms:
Sr  0.250  0.111  0.277
Sr  0.750  0.889  0.723
Sb  0.121  0.156  0.784
Sb  0.379  0.559  0.784
Sb  0.621  0.441  0.216
Sb  0.879  0.844  0.216
Ir  0.249  0.514  0.473
Ir  0.751  0.486  0.527

No. 6
The following is a PBE calculation of a geometry-optimized Li2Cu2I5 structure, from the Alexandria database.

Summary:
The calculation puts the offset from the most stable computed form at 0.25 eV per formula unit. The value obtained for the formation energy (no corrections) is -531 meV/atom. The value obtained for the density is 4.7 g cm⁻³. The electronic total energy is -2.728 eV per atom.

Cell lengths 10.777, 10.777, 10.777 Å; angles 60.29, 138.60, 138.20 degrees
Fractional coordinates of all 18 atoms:
Li  0.036  0.125  0.161
Li  0.036  0.375  0.411
Li  0.964  0.625  0.589
Li  0.964  0.875  0.839
Cu  0.367  0.367  0.000
Cu  0.367  0.867  0.500
Cu  0.407  0.734  0.172
Cu  0.562  0.234  0.828
I  0.249  0.007  0.532
I  0.249  0.217  0.742
I  0.355  0.074  0.209
I  0.355  0.646  0.781
I  0.475  0.507  0.258
I  0.475  0.717  0.468
I  0.726  0.085  0.141
I  0.865  0.146  0.791
I  0.865  0.574  0.219
I  0.944  0.585  0.859

No. 7
The following is a PBE calculation of a geometry-optimized SrPtPb structure, from the Alexandria database.

Summary:
As for the formation energy: -0.657 eV per atom. The value obtained for the density is 9.7 g cm⁻³. The electronic total energy is -4.467 eV per atom.

Cell lengths 6.592, 6.592, 5.851 Å; angles 100.03, 100.03, 42.40 degrees
Fractional coordinates of all 6 atoms:
Sr  0.128  0.128  0.316
Sr  0.872  0.872  0.684
Pt  0.208  0.208  0.856
Pt  0.792  0.792  0.144
Pb  0.411  0.411  0.200
Pb  0.589  0.589  0.800

No. 8
The following is a PBE calculation of a geometry-optimized Nd3Cu structure, from the Alexandria database.

Summary:
As for the formation energy: -0.012 eV per atom. The value obtained for the density is 7.1 g cm⁻³. The electronic total energy is -4.612 eV per atom.

Cell lengths 9.154, 9.154, 9.154 Å; angles 96.67, 96.67, 140.14 degrees
Fractional coordinates of all 16 atoms:
Nd  0.017  0.615  0.669
Nd  0.077  0.027  0.601
Nd  0.131  0.327  0.958
Nd  0.369  0.174  0.042
Nd  0.385  0.054  0.402
Nd  0.426  0.476  0.399
Nd  0.524  0.923  0.950
Nd  0.652  0.983  0.598
Nd  0.673  0.631  0.805
Nd  0.826  0.869  0.195
Nd  0.946  0.348  0.331
Nd  0.973  0.574  0.050
Cu  0.218  0.467  0.653
Cu  0.435  0.782  0.249
Cu  0.533  0.186  0.751
Cu  0.814  0.565  0.347